# 1
An optimized crystal structure of MgZrZn2Pd4, computed with PBE-GGA.

Unit cell a=4.6097 b=4.6097 c=6.0222 alpha=90.00 beta=90.00 gamma=90.00
Space group P4/mmm (No. 123)
Unique sites:
Mg (0.0000, 0.0000, 0.0000)
Zr (0.5000, 0.5000, 0.5000)
Zn (0.0000, 0.0000, 0.5000)
Zn (0.5000, 0.5000, 0.0000)
Pd (0.0000, 0.5000, 0.2427)

Values from the calculation:
- calculated volume (Å³/f.u.) = 128
- energy (eV/cell) = -38.56
- crystal system = tetragonal

***

# 2
An optimized crystal structure of Nd2SiNiSn, computed with PBE-GGA.

Unit cell a=4.3204 b=8.9097 c=5.9062 alpha=90.00 beta=90.00 gamma=90.00
Space group Imm2 (No. 44)
Unique sites:
Nd (0.0000, 0.2121, 0.0000)
Si (0.0000, 0.5000, 0.6837)
Ni (0.0000, 0.5000, 0.2953)
Sn (0.0000, 0.0000, 0.5136)

Values from the calculation:
- calculated volume (Å³/f.u.) = 114
- energy (eV/cell) = -55.11
- crystal system = orthorhombic

***

# 3
An optimized crystal structure of AcGdEr, computed with PBE-GGA.

Unit cell a=7.9611 b=7.9611 c=7.9611 alpha=90.00 beta=90.00 gamma=90.00
Space group F-43m (No. 216)
Unique sites:
Ac (0.0000, 0.0000, 0.0000)
Gd (0.0000, 0.0000, 0.5000)
Er (0.2500, 0.2500, 0.2500)

Values from the calculation:
- calculated volume (Å³/f.u.) = 126
- energy (eV/cell) = -45.21
- crystal system = cubic
- energy above the lowest structure with this stoichiometry (meV per atom) = 0
- energy of formation (eV/f.u.) = 2.0

***

# 4
An optimized crystal structure of FeHgBiW, computed with PBE-GGA.

Unit cell a=6.7332 b=6.7332 c=6.7332 alpha=90.00 beta=90.00 gamma=90.00
Space group F-43m (No. 216)
Unique sites:
Fe (0.0000, 0.0000, 0.0000)
Hg (0.0000, 0.0000, 0.5000)
Bi (0.2500, 0.2500, 0.7500)
W (0.2500, 0.2500, 0.2500)

Values from the calculation:
- calculated volume (Å³/f.u.) = 76
- energy (eV/cell) = -83.41
- crystal system = cubic
- energy above the lowest structure with this stoichiometry (meV per atom) = 177

***

# 5
An optimized crystal structure of SrZnC2N4, computed with PBE-GGA.

Unit cell a=3.5913 b=20.0348 c=6.2954 alpha=90.00 beta=90.00 gamma=90.00
Space group Cmcm (No. 63)
Unique sites:
Sr (0.0000, 0.1220, 0.2500)
Zn (0.0000, 0.3805, 0.2500)
C (0.0000, 0.2289, 0.7500)
C (0.0000, 0.5000, 0.0000)
N (0.0000, 0.1657, 0.7500)
N (0.0000, 0.2892, 0.7500)
N (0.0000, 0.4385, 0.5098)

Values from the calculation:
- calculated volume (Å³/f.u.) = 113
- energy (eV/cell) = -233.40
- crystal system = orthorhombic

***

# 6
An optimized crystal structure of KCo2Se3, computed with PBE-GGA.

Unit cell a=8.2294 b=3.6238 c=9.4600 alpha=90.00 beta=115.67 gamma=90.00
Space group P2_1/m (No. 11)
Unique sites:
K (0.0243, 0.2500, 0.2697)
Co (0.4719, 0.2500, 0.1556)
Co (0.4743, 0.7500, 0.3930)
Se (0.2639, 0.7500, 0.1358)
Se (0.3304, 0.7500, 0.5611)
Se (0.3498, 0.2500, 0.8734)

Values from the calculation:
- calculated volume (Å³/f.u.) = 127
- energy (eV/cell) = -57.26
- crystal system = monoclinic

***

# 7
An optimized crystal structure of BaPrCdSe3, computed with PBE-GGA.

Unit cell a=4.3914 b=14.8186 c=11.1010 alpha=90.00 beta=90.00 gamma=90.00
Space group Cmcm (No. 63)
Unique sites:
Ba (0.0000, 0.2393, 0.2500)
Pr (0.0000, 0.0000, 0.0000)
Cd (0.0000, 0.4779, 0.7500)
Se (0.0000, 0.0894, 0.7500)
Se (0.0000, 0.3626, 0.5627)

Values from the calculation:
- calculated volume (Å³/f.u.) = 181
- energy (eV/cell) = -105.75
- crystal system = orthorhombic

***

# 8
An optimized crystal structure of LiYPt2, computed with PBE-GGA.

Unit cell a=6.5796 b=6.5796 c=6.5796 alpha=90.00 beta=90.00 gamma=90.00
Space group F-43m (No. 216)
Unique sites:
Li (0.0000, 0.0000, 0.0000)
Y (0.2500, 0.2500, 0.2500)
Pt (0.0000, 0.0000, 0.5000)
Pt (0.2500, 0.2500, 0.7500)

Values from the calculation:
- calculated volume (Å³/f.u.) = 71
- energy (eV/cell) = -94.06
- crystal system = cubic

***

# 9
An optimized crystal structure of Cu2Ag3, computed with PBE-GGA.

Unit cell a=2.8583 b=3.6663 c=14.8586 alpha=90.00 beta=90.00 gamma=90.00
Space group Pmmm (No. 47)
Unique sites:
Cu (0.0000, 0.0000, 0.0000)
Cu (0.0000, 0.0000, 0.4171)
Cu (0.5000, 0.5000, 0.5000)
Ag (0.0000, 0.0000, 0.2081)
Ag (0.5000, 0.5000, 0.0961)
Ag (0.5000, 0.5000, 0.3204)

Values from the calculation:
- calculated volume (Å³/f.u.) = 78
- energy (eV/cell) = -31.04
- crystal system = orthorhombic
- energy above the lowest structure with this stoichiometry (meV per atom) = 46
- energy of formation (eV/f.u.) = 0.4

***

# 10
An optimized crystal structure of AcBeFe, computed with PBE-GGA.

Unit cell a=6.3988 b=6.3988 c=6.3988 alpha=90.00 beta=90.00 gamma=90.00
Space group F-43m (No. 216)
Unique sites:
Ac (0.0000, 0.0000, 0.0000)
Be (0.2500, 0.2500, 0.2500)
Fe (0.0000, 0.0000, 0.5000)

Values from the calculation:
- calculated volume (Å³/f.u.) = 65
- energy (eV/cell) = -55.45
- crystal system = cubic
- energy above the lowest structure with this stoichiometry (meV per atom) = 61

***

# 11
An optimized crystal structure of ZnCu2Ge, computed with PBE-GGA.

Unit cell a=6.0657 b=6.0657 c=6.0657 alpha=90.00 beta=90.00 gamma=90.00
Space group Pm-3m (No. 221)
Unique sites:
Zn (0.0000, 0.0000, 0.0000)
Zn (0.0000, 0.0000, 0.5000)
Cu (0.2435, 0.2435, 0.2435)
Ge (0.0000, 0.5000, 0.5000)
Ge (0.5000, 0.5000, 0.5000)

Values from the calculation:
- calculated volume (Å³/f.u.) = 56
- energy (eV/cell) = -52.11
- crystal system = cubic

***

# 12
An optimized crystal structure of Sr2Ga4IrPt, computed with PBE-GGA.

Unit cell a=7.5043 b=4.1743 c=11.2608 alpha=90.00 beta=90.00 gamma=90.00
Space group Amm2 (No. 38)
Unique sites:
Sr (0.0000, 0.0000, 0.0000)
Sr (0.5000, 0.0000, 0.1076)
Ga (0.1897, 0.0000, 0.7247)
Ga (0.3016, 0.0000, 0.3833)
Ir (0.0000, 0.0000, 0.2734)
Pt (0.5000, 0.0000, 0.8330)

Values from the calculation:
- calculated volume (Å³/f.u.) = 176
- energy (eV/cell) = -71.16
- crystal system = orthorhombic

***

# 13
An optimized crystal structure of Lu2Sb, computed with PBE-GGA.

Unit cell a=8.7109 b=8.7109 c=8.7109 alpha=90.00 beta=90.00 gamma=90.00
Space group Fd-3m (No. 227, origin choice 2)
Unique sites:
Lu (0.0000, 0.0000, 0.0000)
Sb (0.1250, 0.1250, 0.6250)

Values from the calculation:
- calculated volume (Å³/f.u.) = 83
- energy (eV/cell) = -106.39
- crystal system = cubic

***

# 14
An optimized crystal structure of Al28Ni, computed with PBE-GGA.

Unit cell a=9.8977 b=9.8977 c=9.8977 alpha=90.00 beta=90.00 gamma=90.00
Space group I-43m (No. 217)
Unique sites:
Al (0.0526, 0.3618, 0.6382)
Al (0.0944, 0.0944, 0.7150)
Al (0.1605, 0.1605, 0.1605)
Ni (0.0000, 0.0000, 0.0000)

Values from the calculation:
- calculated volume (Å³/f.u.) = 485
- energy (eV/cell) = -217.46
- crystal system = cubic

***

# 15
An optimized crystal structure of TlTcPd, computed with PBE-GGA.

Unit cell a=6.3059 b=6.3059 c=6.3059 alpha=90.00 beta=90.00 gamma=90.00
Space group F-43m (No. 216)
Unique sites:
Tl (0.0000, 0.0000, 0.0000)
Tc (0.2500, 0.2500, 0.7500)
Pd (0.0000, 0.0000, 0.5000)

Values from the calculation:
- calculated volume (Å³/f.u.) = 63
- energy (eV/cell) = -62.75
- crystal system = cubic
- energy above the lowest structure with this stoichiometry (meV per atom) = 0

***

# 16
An optimized crystal structure of LuCo4B, computed with PBE-GGA.

Unit cell a=4.9429 b=4.9429 c=6.8333 alpha=90.00 beta=90.00 gamma=120.00
Space group P6/mmm (No. 191)
Unique sites:
Lu (0.0000, 0.0000, 0.0000)
Lu (0.0000, 0.0000, 0.5000)
Co (0.0000, 0.5000, 0.2129)
Co (0.3333, 0.6667, 0.5000)
B (0.3333, 0.6667, 0.0000)

Values from the calculation:
- calculated volume (Å³/f.u.) = 72
- energy (eV/cell) = -83.21
- crystal system = hexagonal

***

# 17
An optimized crystal structure of Li2Cd2Ga2AgPd, computed with PBE-GGA.

Unit cell a=4.5613 b=4.5613 c=6.4699 alpha=90.00 beta=90.00 gamma=90.00
Space group P-4m2 (No. 115)
Unique sites:
Li (0.0000, 0.0000, 0.0000)
Li (0.5000, 0.5000, 0.5000)
Cd (0.0000, 0.5000, 0.7436)
Ga (0.0000, 0.5000, 0.2637)
Ag (0.5000, 0.5000, 0.0000)
Pd (0.0000, 0.0000, 0.5000)

Values from the calculation:
- calculated volume (Å³/f.u.) = 135
- energy (eV/cell) = -22.22
- crystal system = tetragonal

***

# 18
An optimized crystal structure of RbAlTc, computed with PBE-GGA.

Unit cell a=7.4110 b=7.4110 c=7.4110 alpha=90.00 beta=90.00 gamma=90.00
Space group F-43m (No. 216)
Unique sites:
Rb (0.0000, 0.0000, 0.0000)
Al (0.2500, 0.2500, 0.7500)
Tc (0.2500, 0.2500, 0.2500)

Values from the calculation:
- calculated volume (Å³/f.u.) = 102
- energy (eV/cell) = -34.31
- crystal system = cubic
- energy above the lowest structure with this stoichiometry (meV per atom) = 647

***

# 19
An optimized crystal structure of Gd2TlCoNi, computed with PBE-GGA.

Unit cell a=3.7841 b=3.8809 c=14.3593 alpha=90.00 beta=90.00 gamma=90.00
Space group Amm2 (No. 38)
Unique sites:
Gd (0.0000, 0.0000, 0.0000)
Gd (0.0000, 0.0000, 0.2794)
Tl (0.5000, 0.0000, 0.6380)
Co (0.5000, 0.0000, 0.4356)
Ni (0.5000, 0.0000, 0.8418)

Values from the calculation:
- calculated volume (Å³/f.u.) = 105
- energy (eV/cell) = -52.16
- crystal system = orthorhombic

***

# 20
An optimized crystal structure of PmZnO3, computed with PBE-GGA.

Unit cell a=5.5771 b=5.5771 c=12.8005 alpha=90.00 beta=90.00 gamma=120.00
Space group R-3c (No. 167, hexagonal axes)
Unique sites:
Pm (0.0000, 0.0000, 0.2500)
Zn (0.0000, 0.0000, 0.0000)
O (0.0000, 0.4166, 0.2500)

Values from the calculation:
- calculated volume (Å³/f.u.) = 57
- energy (eV/cell) = -188.33
- crystal system = trigonal